(1)
Computed, not measured: a relaxed IrPbW2 crystal at the PBE level of DFT.

a b c (Å): 2.9317 2.9317 29.2668
angles (deg): 90.00 90.00 120.00
With the nearest neighbours (Å) after each atom.
Space group R3m (No. 160, hexagonal axes)
Inequivalent atoms, fractional coordinates:
1 Ir 0.0000 0.0000 0.0000 [3 per cell]  3 W 2.66, 6 Ir 2.93
2 Pb 0.0000 0.0000 0.7581 [3 per cell]  6 Pb 2.93, 3 W 3.16, 3 Ir 3.17
3 W 0.0000 0.0000 0.2634 [3 per cell]  3 Ir 2.66, 9 W 2.91-2.93
4 W 0.0000 0.0000 0.5158 [3 per cell]  9 W 2.91-2.93, 3 Pb 3.16

E: -9.0580 eV/atom
Spin magnetization: 0.00 μB per atom
Energy relative to the elements: 0.561 eV/atom



(2)
Computed, not measured: a relaxed CaSn2O4 crystal at the PBE level of DFT.

a b c (Å): 6.6883 6.6883 17.3556
angles (deg): 90.00 90.00 120.00
With the nearest neighbours (Å) after each atom.
Space group R3m (No. 160, hexagonal axes)
Inequivalent atoms, fractional coordinates:
1 Ca 0.0000 0.0000 0.0000 [3 per cell]  6 O 2.39-2.45
2 Ca 0.0000 0.0000 0.3790 [3 per cell]  4 O 2.29-2.48
3 Sn 0.0000 0.0000 0.6214 [3 per cell]  3 O 2.29
4 Sn 0.1687 0.3375 0.8333 [9 per cell]  6 O 2.18-2.26
5 O 0.0000 0.0000 0.2363 [3 per cell]  3 Sn 2.26, 1 Ca 2.48
6 O 0.0000 0.0000 0.7781 [3 per cell]  3 Sn 2.18
7 O 0.0338 0.5169 0.7615 [9 per cell]  2 Sn 2.21, 2 Ca 2.29-2.39
8 O 0.1814 0.3628 0.5683 [9 per cell]  3 Sn 2.21-2.29, 1 Ca 2.45

E: -6.0502 eV/atom
Polymorph energy (0 for the lowest one): 0.88 eV per formula unit
Spin magnetization: 0.00 μB per atom
Formation energy (no corrections): -1.79 eV/atom